# 1
The following is a PBE-GGA calculation of crystalline TlPb2WSe at its relaxed geometry, from Alexandria.

Cell lengths 5.8293, 5.8293, 5.3223 Å; angles 90.00, 90.00, 90.00 degrees
Space group P4/mmm (No. 123)
One atom of each set of equivalent atoms:
Tl 0.0000 0.0000 0.0000 [1 per cell]
Pb 0.0000 0.5000 0.0000 [2 per cell]
W 0.0000 0.0000 0.5000 [1 per cell]
Se 0.5000 0.5000 0.5000 [1 per cell]

Values from the calculation:
Its uncorrected formation energy is 7.87 eV/f.u.



# 2
The following is a PBE-GGA calculation of crystalline Ac2BiHO at its relaxed geometry, from Alexandria.

Cell lengths 4.2720, 4.2720, 13.4689 Å; angles 90.00, 90.00, 90.00 degrees
Space group I-4m2 (No. 119)
One atom of each set of equivalent atoms:
Ac 0.0000 0.0000 0.1493 [4 per cell]
Bi 0.0000 0.0000 0.5000 [2 per cell]
H 0.0000 0.5000 0.7500 [2 per cell]
O 0.0000 0.5000 0.2500 [2 per cell]

Values from the calculation:
For the final energy, the calculation gives -28.9 eV per formula unit.



# 3
The following is a PBE-GGA calculation of crystalline Tb8PSe3S4 at its relaxed geometry, from Alexandria.

Cell lengths 8.0116, 8.0116, 19.6475 Å; angles 90.00, 90.00, 120.00 degrees
Space group R-3m (No. 166, hexagonal axes)
One atom of each set of equivalent atoms:
Tb 0.0000 0.0000 0.2413 [6 per cell]
Tb 0.0163 0.5081 0.7538 [18 per cell]
P 0.0000 0.0000 0.0000 [3 per cell]
Se 0.0000 0.5000 0.0000 [9 per cell]
S 0.0000 0.0000 0.5000 [3 per cell]
S 0.0000 0.5000 0.5000 [9 per cell]

Values from the calculation:
Its uncorrected formation energy is -30.42 eV/f.u.



# 4
The following is a PBE-GGA calculation of crystalline Ac3Te3S at its relaxed geometry, from Alexandria.

Cell lengths 9.4246, 13.7715, 8.3713 Å; angles 90.00, 94.12, 90.00 degrees
Space group C2/m (No. 12)
One atom of each set of equivalent atoms:
Ac 0.0744 0.0000 0.2935 [4 per cell]
Ac 0.1609 0.3460 0.2037 [8 per cell]
Te 0.0000 0.1613 0.0000 [4 per cell]
Te 0.0000 0.2259 0.5000 [4 per cell]
Te 0.1239 0.5000 0.8601 [4 per cell]
S 0.2231 0.0000 0.6064 [4 per cell]

Values from the calculation:
Its uncorrected formation energy is -10.80 eV/f.u. The calculation puts the excess energy over the best structure of this formula in the dataset at 162 meV/atom.



Mass density (computed, g/cm3): 8.09 9.19 7.61 6.72